(1)
Entry from Alexandria: a relaxed TaGa3Ni12 crystal (PBE).

Computed properties:
The volume is 11.70 Å³/atom. The calculation puts the density of states at the Fermi level at 0.8852 states/eV/atom. The calculation puts the energy at -5.975 eV per atom. The value obtained for the formation energy from the elements is -5.3 eV per formula unit.

abc: 3.618 3.618 14.310
angles: 90.00 90.00 90.00
Space group P4/mmm (No. 123)
Inequivalent atoms, fractional coordinates:
Ta  0.000  0.000  0.000
Ga  0.000  0.000  0.255
Ga  0.000  0.000  0.500
Ni  0.000  0.500  0.128
Ni  0.000  0.500  0.376
Ni  0.500  0.500  0.000
Ni  0.500  0.500  0.252
Ni  0.500  0.500  0.500

---

(2)
Entry from Alexandria: a relaxed GeClF2 crystal (PBE).

Computed properties:
The volume is 23.97 Å³/atom. The calculation puts the density of states at the Fermi level at 0.4257 states/eV/atom. The calculation puts the uncorrected formation energy at -1146 meV per atom. The calculation puts the energy at -3.698 eV per atom. The calculation puts the excess energy over the best structure of this formula in the dataset at 2.60 eV/f.u.

abc: 3.5005 3.5005 27.1112
angles: 90.00 90.00 120.00
Space group R-3m (No. 166, hexagonal axes)
Inequivalent atoms, fractional coordinates:
Ge  0.0000  0.0000  0.0000
Cl  0.0000  0.0000  0.5000
F  0.0000  0.0000  0.3699

---

(3)
Entry from Alexandria: a relaxed Pa2MnPd9 crystal (PBE).

Computed properties:
The volume is 17.00 Å³/atom. The calculation puts the density of states at the Fermi level at 0.3003 states/eV/atom. The calculation puts the energy at -6.876 eV per atom. The value obtained for the formation energy from the elements is -7.6 eV per formula unit.

abc: 4.110 4.110 12.078
angles: 90.00 90.00 90.00
Space group P4/mmm (No. 123)
Inequivalent atoms, fractional coordinates:
Pa  0.000  0.000  0.178
Mn  0.000  0.000  0.500
Pd  0.000  0.500  0.000
Pd  0.000  0.500  0.339
Pd  0.500  0.500  0.169
Pd  0.500  0.500  0.500

---

(4)
Entry from Alexandria: a relaxed PmSmDy2Sc4 crystal (PBE).

Computed properties:
The volume is 28.33 Å³/atom. The calculation puts the density of states at the Fermi level at 1.5846 states/eV/atom. The calculation puts the energy at -5.449 eV per atom. The value obtained for the formation energy from the elements is 0.4 eV per formula unit.

abc: 4.955 4.955 9.232
angles: 90.00 90.00 90.00
Space group P4/mmm (No. 123)
Inequivalent atoms, fractional coordinates:
Pm  0.000  0.000  0.000
Sm  0.500  0.500  0.500
Dy  0.000  0.000  0.500
Dy  0.500  0.500  0.000
Sc  0.000  0.500  0.250

---

(5)
Entry from Alexandria: a relaxed CeDyFeRu crystal (PBE).

Computed properties:
The volume is 19.89 Å³/atom. The calculation puts the density of states at the Fermi level at 1.2521 states/eV/atom. The calculation puts the energy at -7.168 eV per atom. The value obtained for the formation energy from the elements is -0.4 eV per formula unit.

abc: 6.827 6.827 6.827
angles: 90.00 90.00 90.00
Space group F-43m (No. 216)
Inequivalent atoms, fractional coordinates:
Ce  0.000  0.000  0.000
Dy  0.000  0.000  0.500
Fe  0.250  0.250  0.250
Ru  0.250  0.250  0.750

---

(6)
Entry from Alexandria: a relaxed Al2Cu crystal (PBE).

Computed properties:
The volume is 14.92 Å³/atom. The calculation puts the density of states at the Fermi level at 0.2882 states/eV/atom. The calculation puts the energy at -3.908 eV per atom. The value obtained for the formation energy from the elements is -0.1 eV per formula unit.

abc: 9.496 2.704 7.328
angles: 90.00 107.91 90.00
Space group Cm (No. 8)
Inequivalent atoms, fractional coordinates:
Al  0.000  0.000  0.000
Al  0.011  0.000  0.547
Al  0.188  0.500  0.325
Al  0.309  0.000  0.684
Cu  0.203  0.500  0.917
Cu  0.388  0.000  0.225

---

(7)
Entry from Alexandria: a relaxed K4Pm3MnTe8 crystal (PBE).

Computed properties:
The volume is 36.27 Å³/atom. The calculation puts the density of states at the Fermi level at 0.2862 states/eV/atom. The calculation puts the uncorrected formation energy at -1144 meV per atom. The calculation puts the energy at -4.453 eV per atom.

abc: 9.0102 9.0102 24.7597
angles: 90.00 90.00 120.00
Space group R-3m (No. 166, hexagonal axes)
Inequivalent atoms, fractional coordinates:
K  0.0000  0.0000  0.0000
K  0.0000  0.5000  0.0000
Pm  0.0000  0.5000  0.5000
Mn  0.0000  0.0000  0.5000
Te  0.0000  0.0000  0.2389
Te  0.0225  0.5113  0.2341

---

(8)
Entry from Alexandria: a relaxed K5TlSeO2 crystal (PBE).

Computed properties:
The volume is 32.53 Å³/atom. The calculation puts the density of states at the Fermi level at 0.3115 states/eV/atom. The calculation puts the uncorrected formation energy at -945 meV per atom. The calculation puts the energy at -3.307 eV per atom.

abc: 5.314 5.314 10.369
angles: 90.00 90.00 90.00
Space group P4/mmm (No. 123)
Inequivalent atoms, fractional coordinates:
K  0.000  0.000  0.000
K  0.000  0.500  0.221
Tl  0.000  0.000  0.500
Se  0.500  0.500  0.000
O  0.000  0.000  0.266

---

(9)
Entry from Alexandria: a relaxed HRuCN crystal (PBE).

Computed properties:
The volume is 9.69 Å³/atom. The calculation puts the density of states at the Fermi level at 0.2221 states/eV/atom. The calculation puts the energy at -6.863 eV per atom. The calculation puts the excess energy over the best structure of this formula in the dataset at 1.13 eV/f.u.

abc: 6.239 3.447 3.950
angles: 90.00 114.09 90.00
Space group Cm (No. 8)
Inequivalent atoms, fractional coordinates:
H  0.000  0.000  0.000
Ru  0.287  0.500  0.617
C  0.489  0.000  0.760
N  0.193  0.500  0.051

---

(10)
Entry from Alexandria: a relaxed BaLi6Ga12 crystal (PBE).

Computed properties:
The volume is 19.42 Å³/atom. The calculation puts the density of states at the Fermi level at 0.4636 states/eV/atom. The calculation puts the energy at -2.781 eV per atom. The value obtained for the formation energy from the elements is -3.1 eV per formula unit.

abc: 11.4779 11.4779 9.7031
angles: 90.00 90.00 120.00
Space group R-3m (No. 166, hexagonal axes)
Inequivalent atoms, fractional coordinates:
Ba  0.0000  0.0000  0.0000
Li  0.0604  0.5302  0.2400
Ga  0.0000  0.3884  0.5000
Ga  0.0933  0.1866  0.3023

---

(11)
Entry from Alexandria: a relaxed Y2Ho8Er3 crystal (PBE).

Computed properties:
The volume is 32.02 Å³/atom. The calculation puts the density of states at the Fermi level at 1.6444 states/eV/atom. The calculation puts the energy at -4.697 eV per atom. The value obtained for the formation energy from the elements is 2.2 eV per formula unit. The calculation puts the excess energy over the best structure of this formula in the dataset at 0.00 eV/f.u.

abc: 22.853 6.740 5.571
angles: 90.00 104.06 90.00
Space group C2/m (No. 12)
Inequivalent atoms, fractional coordinates:
Y  0.223  0.000  0.223
Ho  0.075  0.000  0.074
Ho  0.151  0.238  0.651
Ho  0.180  0.500  0.180
Er  0.000  0.238  0.500
Er  0.000  0.500  0.000

---

(12)
Entry from Alexandria: a relaxed NaLi2CdCl6 crystal (PBE).

Computed properties:
The volume is 24.31 Å³/atom. The calculation puts the density of states at the Fermi level at 0.1083 states/eV/atom. The calculation puts the uncorrected formation energy at -1294 meV per atom. The calculation puts the energy at -3.009 eV per atom.

abc: 14.371 12.935 5.648
angles: 90.00 112.15 90.00
Space group C2/c (No. 15)
Inequivalent atoms, fractional coordinates:
Na  0.000  0.167  0.250
Li  0.247  0.125  0.929
Cd  0.000  0.399  0.750
Cl  0.115  0.420  0.202
Cl  0.131  0.005  0.028
Cl  0.134  0.263  0.714

---

(13)
Entry from Alexandria: a relaxed SrPdSe crystal (PBE).

Computed properties:
The volume is 29.46 Å³/atom. The calculation puts the density of states at the Fermi level at 0.0000 states/eV/atom. The calculation puts the uncorrected formation energy at -1124 meV per atom. The calculation puts the energy at -4.577 eV per atom.

abc: 5.294 5.306 7.486
angles: 72.84 72.80 63.71
Space group P-1 (No. 2)
Inequivalent atoms, fractional coordinates:
Sr  0.093  0.095  0.221
Pd  0.000  0.500  0.500
Pd  0.500  0.000  0.500
Se  0.250  0.250  0.779

---

(14)
Entry from Alexandria: a relaxed Sc2Os crystal (PBE).

Computed properties:
The volume is 17.98 Å³/atom. The calculation puts the density of states at the Fermi level at 0.9711 states/eV/atom. The calculation puts the energy at -7.387 eV per atom. The value obtained for the formation energy from the elements is 1.7 eV per formula unit.

abc: 7.556 7.556 7.556
angles: 90.00 90.00 90.00
Space group Fd-3m (No. 227, origin choice 2)
Inequivalent atoms, fractional coordinates:
Sc  0.000  0.000  0.000
Os  0.125  0.125  0.625

---

(15)
Entry from Alexandria: a relaxed LiFe3Cu crystal (PBE).

Computed properties:
The volume is 12.45 Å³/atom. The calculation puts the density of states at the Fermi level at 0.9732 states/eV/atom. The calculation puts the energy at -5.220 eV per atom. The value obtained for the formation energy from the elements is 5.3 eV per formula unit. The calculation puts the excess energy over the best structure of this formula in the dataset at 0.00 eV/f.u.

abc: 3.963 3.963 3.963
angles: 90.00 90.00 90.00
Space group Pm-3m (No. 221)
Inequivalent atoms, fractional coordinates:
Li  0.000  0.000  0.000
Fe  0.000  0.000  0.500
Cu  0.500  0.500  0.500

---

(16)
Entry from Alexandria: a relaxed Pm3PrHo4 crystal (PBE).

Computed properties:
The volume is 33.24 Å³/atom. The calculation puts the density of states at the Fermi level at 1.8402 states/eV/atom. The calculation puts the energy at -4.641 eV per atom. The value obtained for the formation energy from the elements is 0.2 eV per formula unit. The calculation puts the excess energy over the best structure of this formula in the dataset at 0.08 eV/f.u.

abc: 11.530 7.316 6.304
angles: 90.00 90.00 90.00
Space group Pmn2_1 (No. 31)
Inequivalent atoms, fractional coordinates:
Pm  0.000  0.128  0.000
Pm  0.250  0.128  0.335
Pr  0.000  0.873  0.500
Ho  0.000  0.379  0.502
Ho  0.000  0.621  0.001
Ho  0.249  0.379  0.834

---

(17)
Entry from Alexandria: a relaxed TiRh2N crystal (PBE).

Computed properties:
The volume is 16.01 Å³/atom. The calculation puts the density of states at the Fermi level at 1.4263 states/eV/atom. The calculation puts the uncorrected formation energy at 95 meV per atom. The calculation puts the energy at -7.636 eV per atom.

abc: 5.191 5.191 9.505
angles: 90.00 90.00 90.00
Space group I-42d (No. 122)
Inequivalent atoms, fractional coordinates:
Ti  0.000  0.000  0.000
Rh  0.162  0.250  0.625
N  0.000  0.000  0.500

---

(18)
Entry from Alexandria: a relaxed CsLiSi crystal (PBE).

Computed properties:
The volume is 30.32 Å³/atom. The calculation puts the density of states at the Fermi level at 0.6031 states/eV/atom. The calculation puts the uncorrected formation energy at 116 meV per atom. The calculation puts the energy at -2.615 eV per atom. The calculation puts the excess energy over the best structure of this formula in the dataset at 0.52 eV/f.u.

abc: 6.592 7.021 7.861
angles: 90.00 90.00 90.00
Space group Amm2 (No. 38)
Inequivalent atoms, fractional coordinates:
Cs  0.000  0.250  0.000
Li  0.500  0.000  0.072
Li  0.500  0.000  0.425
Si  0.500  0.163  0.749

---

(19)
Entry from Alexandria: a relaxed SrNbSe2I crystal (PBE).

Computed properties:
The volume is 39.47 Å³/atom. The calculation puts the density of states at the Fermi level at 0.5978 states/eV/atom. The calculation puts the uncorrected formation energy at 536 meV per atom. The calculation puts the energy at -3.518 eV per atom.

abc: 5.699 5.699 6.077
angles: 90.00 90.00 90.00
Space group P4/mmm (No. 123)
Inequivalent atoms, fractional coordinates:
Sr  0.000  0.000  0.000
Nb  0.500  0.500  0.500
Se  0.000  0.500  0.000
I  0.000  0.000  0.500

---

(20)
Entry from Alexandria: a relaxed Ca3Cd2Ag2Au4 crystal (PBE).

Computed properties:
The volume is 24.23 Å³/atom. The calculation puts the density of states at the Fermi level at 0.3460 states/eV/atom. The calculation puts the energy at -2.895 eV per atom. The value obtained for the formation energy from the elements is -5.2 eV per formula unit.

abc: 4.7476 4.7476 13.6544
angles: 90.00 90.00 120.00
Space group P-3m1 (No. 164)
Inequivalent atoms, fractional coordinates:
Ca  0.0000  0.0000  0.0000
Ca  0.0000  0.0000  0.2672
Cd  0.3333  0.6667  0.5720
Ag  0.3333  0.6667  0.1432
Au  0.3333  0.6667  0.3635
Au  0.3333  0.6667  0.8771

---

(21)
Entry from Alexandria: a relaxed LiIr2Au crystal (PBE).

Computed properties:
The volume is 14.87 Å³/atom. The calculation puts the density of states at the Fermi level at 0.9488 states/eV/atom. The calculation puts the energy at -5.746 eV per atom. The value obtained for the formation energy from the elements is -0.1 eV per formula unit. The calculation puts the excess energy over the best structure of this formula in the dataset at 0.13 eV/f.u.

abc: 9.405 2.735 4.677
angles: 90.00 98.48 90.00
Space group C2/m (No. 12)
Inequivalent atoms, fractional coordinates:
Li  0.000  0.000  0.000
Ir  0.250  0.000  0.763
Au  0.000  0.500  0.500